This record from Alexandria via LeMat-Bulk describes an optimized crystal structure of BaRh. The functional is PBE.

```
BaRh
1.0
-1.857 2.237 3.242
-4.338 0.308 0.227
-2.172 -2.105 3.133
Ba Rh
1 1
Cartesian
0.000 0.000 0.000 Ba
-4.183 0.220 3.301 Rh
```

## Properties
- N(E_F) (states/eV/f.u.) = 1.632
- energy (eV for the cell shown) = -8.603

***

This record from Alexandria via LeMat-Bulk describes an optimized crystal structure of Ba5Rh2. The functional is PBE.

```
Ba5Rh2
1.0
-1.703 7.083 1.550
-7.426 -2.410 2.854
5.115 -4.260 7.196
Ba Rh
10 4
Cartesian
-2.472 -0.413 2.769 Ba
3.531 -3.628 6.166 Ba
-2.430 -2.572 6.376 Ba
-5.040 0.708 6.417 Ba
-1.584 2.984 5.224 Ba
1.025 -0.296 5.183 Ba
-7.546 4.040 5.434 Ba
-1.543 0.825 8.831 Ba
-2.807 3.349 1.578 Ba
-6.323 1.324 2.826 Ba
0.575 -3.148 7.064 Rh
-0.120 1.616 2.420 Rh
-4.590 3.560 4.536 Rh
-3.895 -1.205 9.181 Rh
```

## Properties
- N(E_F) (states/eV/f.u.) = 5.078
- energy (eV for the cell shown) = -50.803

***

This record from Alexandria via LeMat-Bulk describes an optimized crystal structure of BaRh2. The functional is PBE.

```
BaRh2
1.0
1.738 -4.217 3.941
-3.107 -2.773 4.357
0.004 1.683 -5.788
Ba Rh
1 2
Cartesian
-0.685 -3.495 4.149 Ba
-0.304 -1.550 1.840 Rh
-1.065 -5.440 6.458 Rh
```

## Properties
- N(E_F) (states/eV/f.u.) = 3.297
- energy (eV for the cell shown) = -16.207

***

This record from Alexandria via LeMat-Bulk describes an optimized crystal structure of BaRh. The functional is PBE.

```
BaRh
1.0
1.947 -3.373 0.000
1.947 3.373 0.000
0.000 0.000 4.430
Ba Rh
1 1
Cartesian
0.000 0.000 0.000 Ba
1.947 -1.124 2.215 Rh
```

## Properties
- N(E_F) (states/eV/f.u.) = 1.598
- energy (eV for the cell shown) = -8.559

***

This record from Alexandria via LeMat-Bulk describes an optimized crystal structure of BaRh. The functional is PBE.

```
BaRh
1.0
6.024 0.000 0.000
0.000 6.024 0.000
0.000 0.000 6.024
Ba Rh
4 4
Cartesian
0.447 3.460 5.577 Ba
2.565 2.565 2.565 Ba
5.577 0.447 3.460 Ba
3.460 5.577 0.447 Ba
2.449 5.461 3.575 Rh
0.563 0.563 0.563 Rh
3.575 2.449 5.461 Rh
5.461 3.575 2.449 Rh
```

## Properties
- N(E_F) (states/eV/f.u.) = 1.827
- energy (eV for the cell shown) = -35.085

***

This record from Alexandria via LeMat-Bulk describes an optimized crystal structure of BaRh2. The functional is PBE.

```
BaRh2
1.0
3.084 0.000 0.000
0.000 5.149 0.000
0.000 0.000 8.072
Ba Rh
2 4
Cartesian
0.000 0.000 0.000 Ba
1.542 2.575 4.036 Ba
2.364 0.000 2.875 Rh
0.721 0.000 5.197 Rh
0.822 2.575 1.161 Rh
2.263 2.575 6.911 Rh
```

## Properties
- N(E_F) (states/eV/f.u.) = 5.822
- energy (eV for the cell shown) = -30.021

***

Please write out number 6 again, unchanged.
This record from Alexandria via LeMat-Bulk describes an optimized crystal structure of BaRh2. The functional is PBE.

```
BaRh2
1.0
3.084 0.000 0.000
0.000 5.149 0.000
0.000 0.000 8.072
Ba Rh
2 4
Cartesian
0.000 0.000 0.000 Ba
1.542 2.575 4.036 Ba
2.364 0.000 2.875 Rh
0.721 0.000 5.197 Rh
0.822 2.575 1.161 Rh
2.263 2.575 6.911 Rh
```

## Properties
- N(E_F) (states/eV/f.u.) = 5.822
- energy (eV for the cell shown) = -30.021

***

- energy of number 6 (BaRh2)?
  -30.021 eV for the cell shown

***

- Which formula does entry 1 have?
  BaRh